ScAlIrCl2 after structural relaxation, computed with PBE.

Properties
Formation energy without anion corrections = 0.202 eV per atom
Magnetic moment = 1.20 μB per formula unit
Mass density = 4838 kg/m³
V = 23.0 Å³ per atom

```
data_ScAlIrCl2
_cell_length_a 4.862
_cell_length_b 4.862
_cell_length_c 4.865
_cell_angle_alpha 90.00
_cell_angle_beta 90.00
_cell_angle_gamma 90.00
_space_group_name_H-M_alt 'P 1'
_space_group_IT_number 1
_space_group_name_Hall 'P 1'
loop_
_atom_site_label
_atom_site_fract_x
_atom_site_fract_y
_atom_site_fract_z
_atom_site_occupancy
Sc1 0.000 0.000 0.000 1
Al1 0.500 0.500 0.000 1
Ir1 0.500 0.500 0.500 1
Cl1 0.000 0.500 0.500 1
Cl2 0.500 0.000 0.500 1
```

=====

SnAu3S after structural relaxation, computed with PBE.

Properties
Formation energy without anion corrections = 0.867 eV per atom
Magnetic moment = 2.01 μB per formula unit
Mass density = 8629 kg/m³
V = 28.5 Å³ per atom

```
data_SnAu3S
_cell_length_a 5.226
_cell_length_b 5.226
_cell_length_c 5.226
_cell_angle_alpha 90.00
_cell_angle_beta 90.00
_cell_angle_gamma 90.00
_space_group_name_H-M_alt 'P 1'
_space_group_IT_number 1
_space_group_name_Hall 'P 1'
loop_
_atom_site_label
_atom_site_fract_x
_atom_site_fract_y
_atom_site_fract_z
_atom_site_occupancy
Sn1 0.000 0.000 0.000 1
Au1 0.000 0.000 0.500 1
Au2 0.000 0.500 0.000 1
Au3 0.500 0.000 0.000 1
S1 0.500 0.500 0.500 1
```

=====

LaCd5 after structural relaxation, computed with PBE.

Properties
ΔE_f = -19 kJ/mol of atoms
Magnetic moment = 0.00 μB per formula unit
Mass density = 7682 kg/m³
V = 25.3 Å³ per atom

```
data_LaCd5
_cell_length_a 6.712
_cell_length_b 6.712
_cell_length_c 4.967
_cell_angle_alpha 90.00
_cell_angle_beta 90.00
_cell_angle_gamma 137.38
_space_group_name_H-M_alt 'P 1'
_space_group_IT_number 1
_space_group_name_Hall 'P 1'
loop_
_atom_site_label
_atom_site_fract_x
_atom_site_fract_y
_atom_site_fract_z
_atom_site_occupancy
La1 0.000 0.000 0.000 1
Cd1 0.172 0.828 0.500 1
Cd2 0.320 0.680 0.000 1
Cd3 0.500 0.500 0.500 1
Cd4 0.680 0.320 0.000 1
Cd5 0.828 0.172 0.500 1
```

=====

Cs2SeBr after structural relaxation, computed with PBE.

Properties
Formation energy without anion corrections = -1.142 eV per atom
Magnetic moment = 1.02 μB per formula unit
Mass density = 4191 kg/m³
V = 42.1 Å³ per atom

```
data_Cs2SeBr
_cell_length_a 4.284
_cell_length_b 4.284
_cell_length_c 9.167
_cell_angle_alpha 90.00
_cell_angle_beta 90.00
_cell_angle_gamma 90.00
_space_group_name_H-M_alt 'P 1'
_space_group_IT_number 1
_space_group_name_Hall 'P 1'
loop_
_atom_site_label
_atom_site_fract_x
_atom_site_fract_y
_atom_site_fract_z
_atom_site_occupancy
Cs1 0.000 0.000 0.241 1
Cs2 0.000 0.000 0.759 1
Se1 0.500 0.500 0.500 1
Br1 0.500 0.500 0.000 1
```

=====

La7TbDy4 after structural relaxation, computed with PBE.

Properties
ΔE_f = 1 kJ/mol of atoms
Magnetic moment = 0.00 μB per formula unit
Mass density = 7085 kg/m³
V = 34.8 Å³ per atom

```
data_La7TbDy4
_cell_length_a 6.414
_cell_length_b 7.359
_cell_length_c 9.102
_cell_angle_alpha 89.93
_cell_angle_beta 76.36
_cell_angle_gamma 89.92
_space_group_name_H-M_alt 'P 1'
_space_group_IT_number 1
_space_group_name_Hall 'P 1'
loop_
_atom_site_label
_atom_site_fract_x
_atom_site_fract_y
_atom_site_fract_z
_atom_site_occupancy
La1 0.000 0.000 0.000 1
La2 0.223 0.000 0.333 1
La3 0.281 0.747 0.664 1
La4 0.500 0.255 0.998 1
La5 0.500 0.745 0.002 1
La6 0.719 0.253 0.336 1
La7 0.777 0.000 0.667 1
Tb1 0.000 0.500 0.000 1
Dy1 0.216 0.501 0.334 1
Dy2 0.277 0.257 0.668 1
Dy3 0.723 0.743 0.332 1
Dy4 0.784 0.499 0.666 1
```

=====

Pr5Dy2Ge4 after structural relaxation, computed with PBE.

Properties
ΔE_f = -28 kJ/mol of atoms
Magnetic moment = 0.00 μB per formula unit
Mass density = 6320 kg/m³
V = 31.5 Å³ per atom

```
data_Pr5Dy2Ge4
_cell_length_a 10.908
_cell_length_b 10.908
_cell_length_c 8.404
_cell_angle_alpha 95.32
_cell_angle_beta 95.32
_cell_angle_gamma 20.39
_space_group_name_H-M_alt 'P 1'
_space_group_IT_number 1
_space_group_name_Hall 'P 1'
loop_
_atom_site_label
_atom_site_fract_x
_atom_site_fract_y
_atom_site_fract_z
_atom_site_occupancy
Pr1 0.000 0.000 0.000 1
Pr2 0.337 0.337 0.028 1
Pr3 0.400 0.400 0.571 1
Pr4 0.600 0.600 0.429 1
Pr5 0.663 0.663 0.972 1
Dy1 0.234 0.234 0.663 1
Dy2 0.766 0.766 0.337 1
Ge1 0.105 0.105 0.717 1
Ge2 0.471 0.471 0.267 1
Ge3 0.529 0.529 0.733 1
Ge4 0.895 0.895 0.283 1
```

=====

Q: Which of these has the lowest mass density?
A: Cs2SeBr

=====

Q: V of number 6 (Pr5Dy2Ge4)?
A: 31.5 Å³ per atom

=====

Q: Look up the mass density of the second one.
A: 8629 kg/m³

=====

Q: Which value of V does entry 5 give?
A: 34.8 Å³ per atom